The following is a DFT calculation (PBE-GGA) of a relaxed structure of KBeOs.

Calculated values
offset from the most stable computed form	987	meV per atom

Lattice parameters (Å, degrees): 6.7535 6.7535 6.7535 90.00 90.00 90.00
With the nearest neighbours (Å) after each atom.
Space group F-43m (No. 216)
Inequivalent atoms, fractional coordinates:
K 0.0000 0.0000 0.0000  4 Be 2.92, 4 Os 2.92
Be 0.2500 0.2500 0.7500  4 K 2.92
Os 0.2500 0.2500 0.2500  4 K 2.92

***

The following is a DFT calculation (PBE-GGA) of a relaxed structure of KBeTcOs.

Calculated values
offset from the most stable computed form	592	meV per atom

Lattice parameters (Å, degrees): 6.3350 6.3350 6.3350 90.00 90.00 90.00
With the nearest neighbours (Å) after each atom.
Space group F-43m (No. 216)
Inequivalent atoms, fractional coordinates:
K 0.0000 0.0000 0.0000  4 Os 2.74, 4 Tc 2.74
Be 0.0000 0.0000 0.5000  4 Tc 2.74, 4 Os 2.74
Tc 0.2500 0.2500 0.7500  4 K 2.74, 4 Be 2.74
Os 0.2500 0.2500 0.2500  4 Be 2.74, 4 K 2.74

***

The following is a DFT calculation (PBE-GGA) of a relaxed structure of KBeTcOs.

Calculated values
offset from the most stable computed form	0	meV per atom

Lattice parameters (Å, degrees): 6.2929 6.2929 6.2929 90.00 90.00 90.00
With the nearest neighbours (Å) after each atom.
Space group F-43m (No. 216)
Inequivalent atoms, fractional coordinates:
K 0.0000 0.0000 0.0000  4 Be 2.72, 4 Tc 2.72
Be 0.2500 0.2500 0.7500  4 K 2.72, 4 Os 2.72
Tc 0.2500 0.2500 0.2500  4 K 2.72, 4 Os 2.72
Os 0.0000 0.0000 0.5000  4 Tc 2.72, 4 Be 2.72

***

The following is a DFT calculation (PBE-GGA) of a relaxed structure of KBe2Zn2P3.

Calculated values
offset from the most stable computed form	32	meV per atom

Lattice parameters (Å, degrees): 3.9348 3.9348 32.5268 90.00 90.00 120.00
With the nearest neighbours (Å) after each atom.
Space group R-3m (No. 166, hexagonal axes)
Inequivalent atoms, fractional coordinates:
K 0.0000 0.0000 0.0000  6 P 3.26, 6 Zn 3.63
Be 0.0000 0.0000 0.1957  1 P 2.14
Zn 0.0000 0.0000 0.4205  4 P 2.32-2.59
P 0.0000 0.0000 0.2614  1 Be 2.14, 3 Zn 2.32
P 0.0000 0.0000 0.5000  6 Be 2.46, 2 Zn 2.59

***

The following is a DFT calculation (PBE-GGA) of a relaxed structure of KBe2Zn2P3.

Calculated values
offset from the most stable computed form	0	meV per atom

Lattice parameters (Å, degrees): 3.7754 3.7754 35.4352 90.00 90.00 120.00
With the nearest neighbours (Å) after each atom.
Space group R-3m (No. 166, hexagonal axes)
Inequivalent atoms, fractional coordinates:
K 0.0000 0.0000 0.0000  6 P 3.28, 6 Be 3.48
Be 0.0000 0.0000 0.4099  3 P 2.20
Zn 0.0000 0.0000 0.1978  4 P 2.36-2.44
P 0.0000 0.0000 0.2643  3 Be 2.20, 1 Zn 2.36
P 0.0000 0.0000 0.5000  6 Zn 2.44

***

The following is a DFT calculation (PBE-GGA) of a relaxed structure of KBePdSe3.

Calculated values
uncorrected energy	-4.085	eV/atom

Lattice parameters (Å, degrees): 3.7857 14.3946 10.5169 90.00 90.00 90.00
With the nearest neighbours (Å) after each atom.
Space group Cmcm (No. 63)
Inequivalent atoms, fractional coordinates:
K 0.0000 0.2401 0.2500  6 Se 3.32-3.49
Be 0.0000 0.0357 0.7500  4 Se 2.25-2.26
Pd 0.0000 0.5000 0.0000  6 Se 2.55-2.73
Se 0.0000 0.1101 0.5613  1 Be 2.25
Se 0.0000 0.4495 0.7500  2 Be 2.26

***

The following is a DFT calculation (PBE-GGA) of a relaxed structure of KTaBePd.

Calculated values
offset from the most stable computed form	0	meV per atom

Lattice parameters (Å, degrees): 6.4631 6.4631 6.4631 90.00 90.00 90.00
With the nearest neighbours (Å) after each atom.
Space group F-43m (No. 216)
Inequivalent atoms, fractional coordinates:
K 0.0000 0.0000 0.0000  4 Ta 2.80, 4 Be 2.80
Ta 0.2500 0.2500 0.7500  4 K 2.80, 4 Pd 2.80
Be 0.2500 0.2500 0.2500  4 K 2.80, 4 Pd 2.80
Pd 0.0000 0.0000 0.5000  4 Ta 2.80, 4 Be 2.80

***

The following is a DFT calculation (PBE-GGA) of a relaxed structure of KTaBePd.

Calculated values
offset from the most stable computed form	300	meV per atom

Lattice parameters (Å, degrees): 6.4933 6.4933 6.4933 90.00 90.00 90.00
With the nearest neighbours (Å) after each atom.
Space group F-43m (No. 216)
Inequivalent atoms, fractional coordinates:
K 0.0000 0.0000 0.0000  4 Ta 2.81, 4 Pd 2.81
Ta 0.2500 0.2500 0.2500  4 K 2.81, 4 Be 2.81
Be 0.0000 0.0000 0.5000  4 Ta 2.81, 4 Pd 2.81
Pd 0.2500 0.2500 0.7500  4 K 2.81, 4 Be 2.81

***

The following is a DFT calculation (PBE-GGA) of a relaxed structure of KTaBePd.

Calculated values
offset from the most stable computed form	78	meV per atom

Lattice parameters (Å, degrees): 6.6830 6.6830 6.6830 90.00 90.00 90.00
With the nearest neighbours (Å) after each atom.
Space group F-43m (No. 216)
Inequivalent atoms, fractional coordinates:
K 0.0000 0.0000 0.0000  4 Pd 2.89, 4 Be 2.89
Ta 0.0000 0.0000 0.5000  4 Be 2.89, 4 Pd 2.89
Be 0.2500 0.2500 0.7500  4 K 2.89, 4 Ta 2.89
Pd 0.2500 0.2500 0.2500  4 Ta 2.89, 4 K 2.89

***

The following is a DFT calculation (PBE-GGA) of a relaxed structure of KBePt.

Calculated values
offset from the most stable computed form	94	meV per atom

Lattice parameters (Å, degrees): 6.5099 6.5099 6.5099 90.00 90.00 90.00
With the nearest neighbours (Å) after each atom.
Space group F-43m (No. 216)
Inequivalent atoms, fractional coordinates:
K 0.0000 0.0000 0.0000  4 Pt 2.82
Be 0.0000 0.0000 0.5000  4 Pt 2.82
Pt 0.2500 0.2500 0.7500  4 K 2.82, 4 Be 2.82

***

The following is a DFT calculation (PBE-GGA) of a relaxed structure of KBeSbPt.

Calculated values
offset from the most stable computed form	233	meV per atom

Lattice parameters (Å, degrees): 6.8681 6.8681 6.8681 90.00 90.00 90.00
With the nearest neighbours (Å) after each atom.
Space group F-43m (No. 216)
Inequivalent atoms, fractional coordinates:
K 0.0000 0.0000 0.0000  4 Sb 2.97, 4 Pt 2.97
Be 0.0000 0.0000 0.5000  4 Sb 2.97, 4 Pt 2.97
Sb 0.2500 0.2500 0.2500  4 Be 2.97, 4 K 2.97
Pt 0.2500 0.2500 0.7500  4 K 2.97, 4 Be 2.97

***

The following is a DFT calculation (PBE-GGA) of a relaxed structure of KBeSbPt.

Calculated values
offset from the most stable computed form	0	meV per atom

Lattice parameters (Å, degrees): 6.7462 6.7462 6.7462 90.00 90.00 90.00
With the nearest neighbours (Å) after each atom.
Space group F-43m (No. 216)
Inequivalent atoms, fractional coordinates:
K 0.0000 0.0000 0.0000  4 Sb 2.92, 4 Be 2.92
Be 0.2500 0.2500 0.2500  4 K 2.92, 4 Pt 2.92
Sb 0.2500 0.2500 0.7500  4 K 2.92, 4 Pt 2.92
Pt 0.0000 0.0000 0.5000  4 Be 2.92, 4 Sb 2.92